Si17NO34 meta-GGA SCAN PBEsol geometry; space group = Fd-3m (227); formation energy from raw total energies = -2.8725 eV per atom; total energy = -10.3998 eV/atom
1.0
14.1028 0.0000 0.0000
7.0514 12.2133 0.0000
7.0514 4.0711 11.5149
O Si N
68 34 2
Direct
0.1116 0.2961 0.2961 O
0.4398 0.8102 0.1250 O
0.9294 0.2320 0.4193 O
0.2489 0.2489 0.7511 O
0.9539 0.1384 0.9539 O
0.0011 0.4989 0.4989 O
0.1250 0.4398 0.8102 O
0.6250 0.4398 0.8102 O
0.1250 0.8102 0.6250 O
0.2320 0.9294 0.4193 O
0.6250 0.8102 0.1250 O
0.2489 0.7511 0.7511 O
0.8307 0.3206 0.0180 O
0.0011 0.0011 0.4989 O
0.8102 0.4398 0.1250 O
0.8102 0.4398 0.6250 O
0.0180 0.3206 0.8307 O
0.3206 0.0180 0.8307 O
0.1250 0.8102 0.4398 O
0.4398 0.6250 0.1250 O
0.8307 0.3206 0.8307 O
0.8307 0.0180 0.3206 O
0.6250 0.8102 0.4398 O
0.2961 0.2961 0.2961 O
0.7511 0.7511 0.2489 O
0.4989 0.4989 0.0011 O
0.3206 0.8307 0.0180 O
0.4193 0.2320 0.9294 O
0.8102 0.1250 0.6250 O
0.4398 0.1250 0.6250 O
0.4193 0.9294 0.4193 O
0.1384 0.9539 0.9539 O
0.4989 0.0011 0.4989 O
0.7511 0.2489 0.7511 O
0.0011 0.4989 0.0011 O
0.8307 0.8307 0.0180 O
0.8102 0.6250 0.4398 O
0.4398 0.6250 0.8102 O
0.2961 0.2961 0.1116 O
0.6250 0.4398 0.1250 O
0.9294 0.4193 0.4193 O
0.4989 0.0011 0.0011 O
0.0180 0.8307 0.8307 O
0.4398 0.8102 0.6250 O
0.6250 0.1250 0.4398 O
0.9539 0.9539 0.1384 O
0.3206 0.8307 0.8307 O
0.4398 0.1250 0.8102 O
0.8307 0.8307 0.3206 O
0.8102 0.1250 0.4398 O
0.8307 0.0180 0.8307 O
0.2489 0.7511 0.2489 O
0.9539 0.9539 0.9539 O
0.2961 0.1116 0.2961 O
0.0180 0.8307 0.3206 O
0.4193 0.4193 0.2320 O
0.4193 0.9294 0.2320 O
0.1250 0.6250 0.4398 O
0.2320 0.4193 0.9294 O
0.4193 0.4193 0.9294 O
0.8102 0.6250 0.1250 O
0.1250 0.6250 0.8102 O
0.7511 0.2489 0.2489 O
0.2320 0.4193 0.4193 O
0.4193 0.2320 0.4193 O
0.1250 0.4398 0.6250 O
0.6250 0.1250 0.8102 O
0.9294 0.4193 0.2320 O
0.2500 0.2500 0.2500 Si
0.7542 0.7542 0.3607 Si
0.1190 0.4958 0.8893 Si
0.8893 0.4958 0.1190 Si
0.9076 0.2772 0.9076 Si
0.4958 0.4958 0.8893 Si
0.7542 0.7542 0.1310 Si
0.4958 0.1190 0.4958 Si
0.7542 0.3607 0.7542 Si
0.7542 0.1310 0.3607 Si
0.0000 0.0000 0.0000 Si
0.4958 0.1190 0.8893 Si
0.3424 0.3424 0.9728 Si
0.7542 0.1310 0.7542 Si
0.4958 0.8893 0.4958 Si
0.1310 0.7542 0.3607 Si
0.9076 0.9076 0.2772 Si
0.1310 0.3607 0.7542 Si
0.3607 0.7542 0.7542 Si
0.3424 0.9728 0.3424 Si
0.9076 0.9076 0.9076 Si
0.7542 0.3607 0.1310 Si
0.4958 0.4958 0.1190 Si
0.3607 0.1310 0.7542 Si
0.1310 0.7542 0.7542 Si
0.8893 0.4958 0.4958 Si
0.1190 0.8893 0.4958 Si
0.3424 0.3424 0.3424 Si
0.1190 0.4958 0.4958 Si
0.9728 0.3424 0.3424 Si
0.4958 0.8893 0.1190 Si
0.8893 0.1190 0.4958 Si
0.3607 0.7542 0.1310 Si
0.2772 0.9076 0.9076 Si
0.5000 0.5000 0.5000 N
0.7500 0.7500 0.7500 N

---

Y2MnPt meta-GGA SCAN PBEsol geometry; space group = Imm2 (44); total energy = -36.7452 eV/atom
1.0
3.4725 0.0000 0.0000
0.0000 4.6772 0.0000
-1.7363 -2.3386 5.2047
Y Pt Mn
2 1 1
Direct
0.0276 0.5276 0.0552 Y
0.2434 0.2434 0.4867 Y
0.7726 0.7726 0.5451 Pt
0.4565 0.9565 0.9129 Mn

---

Ag3BO3 meta-GGA SCAN PBEsol geometry; space group = R32 (155); formation energy from raw total energies = -0.9750 eV per atom; total energy = -18.1500 eV/atom; relative energy among the computed polymorphs = 62 meV per atom
1.0
3.0667 0.0000 0.0000
-1.0222 5.8131 0.0000
-1.0222 -2.9066 5.0343
Ag O B
3 3 1
Direct
0.5157 0.0313 0.5157 Ag
0.0000 0.4843 0.5157 Ag
0.4843 0.4843 0.9687 Ag
0.8630 0.8630 0.7260 O
0.0000 0.8630 0.1370 O
0.1370 0.2740 0.1370 O
0.0000 0.0000 0.0000 B

---

Ca2ZnIn meta-GGA SCAN PBEsol geometry; space group = P4/mmm (123); total energy = -17.0020 eV/atom
1.0
-2.2367 0.4930 2.8417
-2.1146 -4.7790 -0.8353
3.6081 -2.1583 3.2143
Ca Zn In
2 1 1
Direct
0.0000 0.0000 0.5000 Ca
0.0000 0.5000 0.0000 Ca
0.5000 0.0000 0.0000 Zn
0.5000 0.5000 0.5000 In

---

Cr2RuRh meta-GGA SCAN PBEsol geometry; space group = Pmmm (47); total energy = -26.2873 eV/atom
1.0
2.6174 0.0000 0.0000
0.0000 3.6124 0.0000
0.0000 0.0000 5.2472
Ru Cr Rh
1 2 1
Direct
0.5000 0.5000 0.5000 Ru
0.0000 0.0000 0.7432 Cr
0.0000 0.0000 0.2568 Cr
0.5000 0.5000 0.0000 Rh

---

YGaNiBr2 meta-GGA SCAN PBEsol geometry; space group = P4/mmm (123); formation energy from raw total energies = 0.0496 eV per atom; total energy = -19.8067 eV/atom
1.0
-3.9372 -1.2503 -1.6350
-0.7701 -3.0221 4.1656
-2.2845 3.9750 2.4615
Y Ni Br Ga
1 1 2 1
Direct
0.5000 0.5000 0.5000 Y
0.5000 0.0000 0.0000 Ni
0.0000 0.0000 0.5000 Br
0.0000 0.5000 0.0000 Br
0.0000 0.0000 0.0000 Ga

---

no.,magnetic moment (μB/f.u.)
1,3.1
2,3.3
3,0.0
4,0.0
5,0.0
6,0.0